No. 1
4
Lattice="3.098 0.000 0.000 0.000 3.098 0.000 0.000 0.000 10.878" Properties=species:S:1:pos:R:3 comment="TlPb2W (GGA-PBE, optimized geometry)" delta_e_f_ev_per_atom=0.78 m_tot_mub_per_fu=0.0 pbc="T T T"
Pb 0.000 0.000 10.329
Pb 1.549 1.549 2.882
Tl 0.000 0.000 5.875
W 1.549 1.549 8.109

No. 2
4
Lattice="11.341 0.009 0.005 10.878 3.209 0.005 10.878 1.575 2.796" Properties=species:S:1:pos:R:3 comment="TlPb2W (GGA-PBE, optimized geometry)" delta_e_f_ev_per_atom=0.72 m_tot_mub_per_fu=0.0 pbc="T T T"
Pb 0.439 0.064 0.037
Pb 8.149 1.180 0.691
Tl 16.192 2.345 1.373
W 24.866 3.601 2.108

Please write out number 2 again, unchanged.
4
Lattice="11.341 0.009 0.005 10.878 3.209 0.005 10.878 1.575 2.796" Properties=species:S:1:pos:R:3 comment="TlPb2W (GGA-PBE, optimized geometry)" delta_e_f_ev_per_atom=0.72 m_tot_mub_per_fu=0.0 pbc="T T T"
Pb 0.439 0.064 0.037
Pb 8.149 1.180 0.691
Tl 16.192 2.345 1.373
W 24.866 3.601 2.108